A geometry-optimized Fe4HgRu structure. Source: Alexandria, functional PBE-GGA.

Calculated values
Electronic total energy in eV per atom: -6.970
Energy of formation in eV/atom: 0.27
D(E_F) in states/eV/f.u.: 4.78

Cell: 4.841 4.841 4.841 Å, 60.00 60.00 60.00°
Fractional positions:
Fe  0.876  0.375  0.375
Fe  0.375  0.375  0.876
Fe  0.375  0.876  0.375
Fe  0.375  0.375  0.375
Hg  0.750  0.750  0.750
Ru  0.000  0.000  0.000

***

A geometry-optimized FeHgRu3 structure. Source: Alexandria, functional PBE-GGA.

Calculated values
Electronic total energy in eV per atom: -6.038
Energy of formation in eV/atom: 1.28
D(E_F) in states/eV/f.u.: 6.66
Excess energy over the best structure of this formula in the dataset in meV per atom: 0

Cell: 4.433 4.433 4.433 Å, 90.00 90.00 90.00°
Fractional positions:
Ru  0.000  0.500  0.000
Ru  0.000  0.000  0.500
Ru  0.500  0.000  0.000
Hg  0.500  0.500  0.500
Fe  0.000  0.000  0.000

***

A geometry-optimized TaFeHgRu2 structure. Source: Alexandria, functional PBE-GGA.

Calculated values
Electronic total energy in eV per atom: -5.874
Energy of formation in eV/atom: 1.96
D(E_F) in states/eV/f.u.: 8.44

Cell: 4.649 5.255 4.649 Å, 90.00 90.00 90.00°
Fractional positions:
Fe  0.500  0.500  0.500
Ru  0.000  0.000  0.500
Ru  0.500  0.000  0.000
Hg  0.000  0.500  0.000
Ta  0.000  0.000  0.000

***

A geometry-optimized FeTcHgRu2 structure. Source: Alexandria, functional PBE-GGA.

Calculated values
Electronic total energy in eV per atom: -5.976
Energy of formation in eV/atom: 1.56
D(E_F) in states/eV/f.u.: 7.06

Cell: 4.374 4.374 4.790 Å, 90.00 90.00 90.00°
Fractional positions:
Fe  0.000  0.000  0.000
Ru  0.000  0.500  0.000
Ru  0.500  0.000  0.000
Hg  0.000  0.000  0.500
Tc  0.500  0.500  0.500

***

A geometry-optimized Fe2HgTeRu structure. Source: Alexandria, functional PBE-GGA.

Calculated values
Formation energy from raw total energies in eV per atom: 1.31
Electronic total energy in eV per atom: -4.615
D(E_F) in states/eV/f.u.: 13.91

Cell: 4.545 5.058 4.545 Å, 90.00 90.00 90.00°
Fractional positions:
Ru  0.000  0.000  0.000
Te  0.000  0.500  0.000
Hg  0.500  0.500  0.500
Fe  0.000  0.000  0.500
Fe  0.500  0.000  0.000

***

A geometry-optimized TiFe2HgRu structure. Source: Alexandria, functional PBE-GGA.

Calculated values
Electronic total energy in eV per atom: -5.499
Energy of formation in eV/atom: 1.38
D(E_F) in states/eV/f.u.: 3.88

Cell: 4.188 5.056 4.188 Å, 90.00 90.00 90.00°
Fractional positions:
Ru  0.500  0.500  0.500
Ti  0.000  0.000  0.000
Hg  0.000  0.500  0.000
Fe  0.000  0.000  0.500
Fe  0.500  0.000  0.000